1.
Below is a geometry-optimized LaGaBi structure, with properties calculated at the PBE level.

a b c (Å): 4.315 4.869 4.869
angles (deg): 120.00 90.00 90.00
Atoms (fractional coordinates):
1 Bi 0.760 0.667 0.333
2 Ga 0.943 0.000 0.000
3 La 0.297 0.333 0.667

## Properties
energy of formation from the pure elements = -12.64 kcal/mol of atoms
size of the total moment = 0.0 μB/f.u.
crystal system = trigonal

=====

2.
Below is a geometry-optimized La2GaBi3 structure, with properties calculated at the PBE level.

a b c (Å): 4.661 6.400 8.234
angles (deg): 112.87 106.44 90.00
Atoms (fractional coordinates):
1 La 0.666 0.166 0.331
2 La 0.334 0.834 0.669
3 Ga 0.000 0.500 0.000
4 Bi 0.331 0.331 0.662
5 Bi 0.000 0.000 0.000
6 Bi 0.669 0.669 0.338

## Properties
energy of formation from the pure elements = -10.44 kcal/mol of atoms
size of the total moment = 0.0 μB/f.u.
crystal system = orthorhombic

=====

3.
Below is a geometry-optimized La12Ga3Bi5 structure, with properties calculated at the PBE level.

a b c (Å): 16.156 16.156 16.156
angles (deg): 109.47 109.47 109.47
Atoms (fractional coordinates):
1 Ga 0.750 0.375 0.125
2 Ga 0.875 0.750 0.125
3 Ga 0.375 0.750 0.625
4 Ga 0.250 0.125 0.375
5 Ga 0.875 0.125 0.250
6 Ga 0.375 0.625 0.250
7 Ga 0.625 0.375 0.750
8 Ga 0.125 0.875 0.750
9 Ga 0.750 0.875 0.625
10 Ga 0.625 0.250 0.375
11 Ga 0.125 0.250 0.875
12 Ga 0.250 0.625 0.875
13 Bi 0.125 0.375 0.250
14 Bi 0.000 0.500 0.000
15 Bi 0.000 0.000 0.000
16 Bi 0.375 0.250 0.125
17 Bi 0.500 0.000 0.500
18 Bi 0.500 0.500 0.000
19 Bi 0.125 0.750 0.375
20 Bi 0.750 0.125 0.875
21 Bi 0.750 0.625 0.375
22 Bi 0.375 0.125 0.750
23 Bi 0.625 0.875 0.250
24 Bi 0.500 0.500 0.500
25 Bi 0.500 0.000 0.000
26 Bi 0.000 0.000 0.500
27 Bi 0.250 0.375 0.625
28 Bi 0.250 0.875 0.125
29 Bi 0.000 0.500 0.500
30 Bi 0.875 0.250 0.625
31 Bi 0.625 0.750 0.875
32 Bi 0.875 0.625 0.750
33 La 0.731 0.144 0.065
34 La 0.334 0.565 0.421
35 La 0.935 0.356 0.269
36 La 0.565 0.231 0.144
37 La 0.587 0.731 0.666
38 La 0.935 0.579 0.166
39 La 0.334 0.769 0.413
40 La 0.079 0.913 0.144
41 La 0.579 0.935 0.666
42 La 0.731 0.587 0.166
43 La 0.769 0.435 0.356
44 La 0.834 0.921 0.065
45 La 0.144 0.731 0.565
46 La 0.356 0.421 0.087
47 La 0.087 0.921 0.356
48 La 0.413 0.144 0.579
49 La 0.087 0.166 0.231
50 La 0.435 0.666 0.079
51 La 0.834 0.913 0.269
52 La 0.144 0.413 0.079
53 La 0.356 0.935 0.769
54 La 0.579 0.644 0.413
55 La 0.921 0.834 0.565
56 La 0.769 0.334 0.913
57 La 0.421 0.356 0.587
58 La 0.079 0.166 0.435
59 La 0.231 0.666 0.087
60 La 0.166 0.087 0.731
61 La 0.644 0.065 0.231
62 La 0.856 0.587 0.921
63 La 0.565 0.334 0.921
64 La 0.587 0.856 0.421
65 La 0.913 0.834 0.769
66 La 0.913 0.079 0.644
67 La 0.856 0.269 0.435
68 La 0.166 0.079 0.935
69 La 0.644 0.579 0.913
70 La 0.421 0.065 0.334
71 La 0.269 0.413 0.834
72 La 0.231 0.565 0.644
73 La 0.921 0.087 0.856
74 La 0.666 0.231 0.587
75 La 0.435 0.769 0.856
76 La 0.065 0.421 0.834
77 La 0.413 0.269 0.334
78 La 0.065 0.644 0.731
79 La 0.666 0.435 0.579
80 La 0.269 0.856 0.935

## Properties
energy of formation from the pure elements = -6.56 kcal/mol of atoms
size of the total moment = 0.0 μB/f.u.
crystal system = cubic

=====

4.
Below is a geometry-optimized La10Ga3Bi3 structure, with properties calculated at the PBE level.

a b c (Å): 6.817 9.451 9.451
angles (deg): 120.00 90.00 90.00
Atoms (fractional coordinates):
1 La 0.275 0.667 0.333
2 La 0.275 0.333 0.667
3 La 0.725 0.333 0.667
4 La 0.725 0.667 0.333
5 La 0.500 0.000 0.762
6 La 0.500 0.762 0.000
7 La 0.500 0.238 0.238
8 La 0.000 0.000 0.247
9 La 0.000 0.247 0.000
10 La 0.000 0.753 0.753
11 Ga 0.500 0.000 0.391
12 Ga 0.500 0.391 0.000
13 Ga 0.500 0.609 0.609
14 Bi 0.000 0.000 0.607
15 Bi 0.000 0.607 0.000
16 Bi 0.000 0.393 0.393

## Properties
energy of formation from the pure elements = -13.73 kcal/mol of atoms
size of the total moment = 0.0 μB/f.u.
crystal system = hexagonal

=====

5.
Below is a geometry-optimized LaGa2Bi structure, with properties calculated at the PBE level.

a b c (Å): 8.311 8.311 6.721
angles (deg): 51.81 51.81 90.00
Atoms (fractional coordinates):
1 Bi 0.000 0.000 0.000
2 Bi 0.750 0.250 0.500
3 Ga 0.647 0.125 0.250
4 Ga 0.103 0.625 0.250
5 Ga 0.375 0.353 0.750
6 Ga 0.875 0.897 0.750
7 La 0.500 0.500 0.000
8 La 0.250 0.750 0.500

## Properties
energy of formation from the pure elements = -6.90 kcal/mol of atoms
size of the total moment = 0.0 μB/f.u.
crystal system = tetragonal

=====

6.
Below is a geometry-optimized La2Ga2Bi structure, with properties calculated at the PBE level.

a b c (Å): 7.833 7.833 4.551
angles (deg): 90.00 90.00 90.00
Atoms (fractional coordinates):
1 Bi 0.000 0.000 0.000
2 Bi 0.500 0.500 0.000
3 Ga 0.381 0.881 0.000
4 Ga 0.881 0.619 0.000
5 Ga 0.619 0.119 0.000
6 Ga 0.119 0.381 0.000
7 La 0.174 0.674 0.500
8 La 0.674 0.826 0.500
9 La 0.826 0.326 0.500
10 La 0.326 0.174 0.500

## Properties
energy of formation from the pure elements = -15.50 kcal/mol of atoms
size of the total moment = 0.0 μB/f.u.
crystal system = tetragonal

=====

Look up the size of the total moment of the sixth one. 0.0 μB/f.u.